# 1
Entry from Alexandria: a geometry-optimized TlSiNi2 structure (PBE).

Values from the calculation:
space group	No. 225
offset from the most stable computed form	6.477	kcal/mol of atoms
N(E_F)	1.80	states/eV per cell
uncorrected formation energy	0.216	eV per atom

Cell: 4.3345 4.3345 4.3345 Å, 60.00 60.00 60.00°
Closest atoms and distances in Å follow each position.
Sites, in units of the cell vectors:
Ni  0.2500  0.2500  0.2500  4 Tl 2.65, 4 Si 2.65
Ni  0.7500  0.7500  0.7500  4 Tl 2.65, 4 Si 2.65
Tl  0.5000  0.5000  0.5000  8 Ni 2.65
Si  0.0000  0.0000  0.0000  8 Ni 2.65

# 2
Entry from Alexandria: a geometry-optimized LaNd2Ru structure (PBE).

Values from the calculation:
calculated formation energy	-0.197	eV/atom
space group	No. 63
offset from the most stable computed form	0.536	kcal/mol of atoms
N(E_F)	9.02	states/eV per cell

Cell: 3.9799 6.5408 9.7657 Å, 90.00 90.00 107.73°
Closest atoms and distances in Å follow each position.
Sites, in units of the cell vectors:
La  0.4141  0.8280  0.2500  2 Ru 2.77-2.78
La  0.5859  0.1720  0.7500  2 Ru 2.77-2.78
Nd  0.1445  0.2892  0.4278  2 Ru 3.00
Nd  0.8555  0.7108  0.5722  2 Ru 3.00
Nd  0.8555  0.7108  0.9278  2 Ru 3.00
Nd  0.1445  0.2892  0.0722  2 Ru 3.00
Ru  0.7596  0.5177  0.2500  2 La 2.77-2.78, 4 Nd 3.00
Ru  0.2404  0.4823  0.7500  2 La 2.77-2.78, 4 Nd 3.00

# 3
Entry from Alexandria: a geometry-optimized Zr6ZnN structure (PBE).

Values from the calculation:
space group	No. 2
N(E_F)	6.80	states/eV per cell
uncorrected formation energy	-0.448	eV per atom

Cell: 5.1221 5.9483 5.7937 Å, 80.84 89.77 66.77°
Closest atoms and distances in Å follow each position.
Sites, in units of the cell vectors:
Zr  0.0649  0.3429  0.7918  1 N 2.34
Zr  0.7679  0.9833  0.6753  1 N 2.27
Zr  0.5990  0.2500  0.1265  1 N 2.21
Zr  0.2321  0.0167  0.3247  1 N 2.27
Zr  0.9351  0.6571  0.2082  1 N 2.34
Zr  0.4010  0.7500  0.8735  1 N 2.21
Zn  0.5000  0.5000  0.5000  4 Zr 2.75-2.84
N  0.0000  0.0000  0.0000  6 Zr 2.21-2.34

# 4
Entry from Alexandria: a geometry-optimized NdMg2Cd structure (PBE).

Values from the calculation:
calculated formation energy	-0.116	eV/atom
space group	No. 123
offset from the most stable computed form	2.682	kcal/mol of atoms
N(E_F)	3.38	states/eV per cell

Cell: 3.4508 3.4508 8.5387 Å, 90.00 90.00 90.00°
Closest atoms and distances in Å follow each position.
Sites, in units of the cell vectors:
Mg  0.0000  0.0000  0.7866  4 Cd 3.05
Mg  0.0000  0.0000  0.2134  4 Cd 3.05
Nd  0.5000  0.5000  0.5000  4 Nd 3.45, 8 Mg 3.46
Cd  0.5000  0.5000  0.0000  8 Mg 3.05

# 5
Entry from Alexandria: a geometry-optimized Na3U2AuSe6 structure (PBE).

Values from the calculation:
space group	No. 12
N(E_F)	12.72	states/eV per cell
uncorrected formation energy	-0.999	eV per atom

Cell: 7.1009 7.1009 7.4252 Å, 99.26 99.26 119.72°
Closest atoms and distances in Å follow each position.
Sites, in units of the cell vectors:
Na  0.1604  0.8396  0.5000  6 Se 3.01-3.07
Na  0.8396  0.1604  0.5000  6 Se 3.01-3.07
Na  0.5000  0.5000  0.5000  6 Se 2.97-3.06
U  0.3324  0.6676  0.0000  6 Se 2.84-2.85
U  0.6676  0.3324  0.0000  6 Se 2.84-2.85
Au  0.0000  0.0000  0.0000  6 Se 2.94-2.96
Se  0.9221  0.5781  0.7687  2 U 2.84-2.85, 1 Au 2.94, 3 Na 3.02-3.07
Se  0.7313  0.7313  0.2317  2 U 2.85, 1 Au 2.96, 3 Na 2.97-3.01
Se  0.0779  0.4219  0.2313  2 U 2.84-2.85, 1 Au 2.94, 3 Na 3.02-3.07
Se  0.5781  0.9221  0.7687  2 U 2.84-2.85, 1 Au 2.94, 3 Na 3.02-3.07
Se  0.2687  0.2687  0.7683  2 U 2.85, 1 Au 2.96, 3 Na 2.97-3.01
Se  0.4219  0.0779  0.2313  2 U 2.84-2.85, 1 Au 2.94, 3 Na 3.02-3.07

# 6
Entry from Alexandria: a geometry-optimized AuClF2 structure (PBE).

Values from the calculation:
space group	No. 2
offset from the most stable computed form	1.448	kcal/mol of atoms
uncorrected formation energy	-0.710	eV per atom

Cell: 7.0496 5.7300 9.3514 Å, 113.60 86.91 89.31°
Closest atoms and distances in Å follow each position.
Sites, in units of the cell vectors:
Au  0.8904  0.2804  0.3051  2 F 1.96-1.97
Au  0.1096  0.7196  0.6949  2 F 1.96-1.97
Au  0.4052  0.2792  0.1025  3 F 1.95-2.11
Au  0.5948  0.7208  0.8975  3 F 1.95-2.11
Cl  0.8800  0.5124  0.7923  2 Au 2.29-2.37
Cl  0.1200  0.4876  0.2077  2 Au 2.29-2.37
Cl  0.3740  0.8659  0.6157  1 Au 2.26
Cl  0.6260  0.1341  0.3843  1 Au 2.26
F  0.3322  0.9035  0.0077  2 Au 2.06-2.11
F  0.6678  0.0965  0.9923  2 Au 2.06-2.11
F  0.8265  0.6274  0.4624  1 Au 1.97
F  0.1735  0.3726  0.5376  1 Au 1.97
F  0.4901  0.3825  0.8185  1 Au 1.95
F  0.5099  0.6175  0.1815  1 Au 1.95
F  0.0395  0.0648  0.8481  1 Au 1.96
F  0.9605  0.9352  0.1519  1 Au 1.96

# 7
Entry from Alexandria: a geometry-optimized MgB5Os structure (PBE).

Values from the calculation:
calculated formation energy	0.149	eV/atom
space group	No. 15
N(E_F)	4.10	states/eV per cell

Cell: 5.5373 4.3885 9.9222 Å, 56.97 90.00 129.12°
Closest atoms and distances in Å follow each position.
Sites, in units of the cell vectors:
Mg  0.0000  0.0000  0.0000  10 B 2.45-2.70, 2 Os 2.73
Mg  0.0000  0.0000  0.5000  10 B 2.45-2.70, 2 Os 2.73
B  0.3749  0.4950  0.1740  3 B 1.71-1.76
B  0.5282  0.2116  0.5034  3 B 1.71-1.76
B  0.1201  0.4950  0.6740  3 B 1.71-1.76
B  0.3320  0.0000  0.2500  2 B 1.71
B  0.3166  0.7884  0.9966  3 B 1.71-1.76
B  0.6834  0.2116  0.0034  3 B 1.71-1.76
B  0.6680  0.0000  0.7500  2 B 1.71
B  0.8799  0.5050  0.3260  3 B 1.71-1.76
B  0.4718  0.7884  0.4966  3 B 1.71-1.76
B  0.6251  0.5050  0.8260  3 B 1.71-1.76
Os  0.7266  0.0000  0.2500  7 B 2.17-2.38
Os  0.2734  0.0000  0.7500  7 B 2.17-2.38

# 8
Entry from Alexandria: a geometry-optimized Nb2SnAu structure (PBE).

Values from the calculation:
calculated formation energy	0.269	eV/atom
space group	No. 122
N(E_F)	4.99	states/eV per cell

Cell: 7.5730 7.5730 6.0726 Å, 51.43 51.43 90.00°
Closest atoms and distances in Å follow each position.
Sites, in units of the cell vectors:
Nb  0.6318  0.1250  0.2500  2 Au 2.74, 2 Sn 2.81, 2 Nb 2.87
Nb  0.1182  0.6250  0.2500  2 Au 2.74, 2 Sn 2.81, 2 Nb 2.87
Nb  0.3750  0.3682  0.7500  2 Au 2.74, 2 Sn 2.81, 2 Nb 2.87
Nb  0.8750  0.8818  0.7500  2 Au 2.74, 2 Sn 2.81, 2 Nb 2.87
Au  0.0000  0.0000  0.0000  4 Nb 2.74, 2 Sn 2.86
Au  0.7500  0.2500  0.5000  4 Nb 2.74, 2 Sn 2.86
Sn  0.5000  0.5000  0.0000  4 Nb 2.81, 2 Au 2.86
Sn  0.2500  0.7500  0.5000  4 Nb 2.81, 2 Au 2.86

# 9
Entry from Alexandria: a geometry-optimized Dy2O3 structure (PBE).

Values from the calculation:
space group	No. 206
N(E_F)	0.00	states/eV per cell
uncorrected formation energy	-3.592	eV per atom

Cell: 9.2443 9.2443 9.2443 Å, 109.47 109.47 109.47°
Closest atoms and distances in Å follow each position.
Sites, in units of the cell vectors:
Dy  0.7175  0.7500  0.4675  6 O 2.26-2.35
Dy  0.2500  0.0325  0.7825  6 O 2.26-2.35
Dy  0.4675  0.7175  0.7500  6 O 2.26-2.35
Dy  0.7500  0.4675  0.7175  6 O 2.26-2.35
Dy  0.0325  0.7825  0.2500  6 O 2.26-2.35
Dy  0.7825  0.2500  0.0325  6 O 2.26-2.35
Dy  0.2825  0.2500  0.5325  6 O 2.26-2.35
Dy  0.7500  0.9675  0.2175  6 O 2.26-2.35
Dy  0.5325  0.2825  0.2500  6 O 2.26-2.35
Dy  0.2500  0.5325  0.2825  6 O 2.26-2.35
Dy  0.9675  0.2175  0.7500  6 O 2.26-2.35
Dy  0.2175  0.7500  0.9675  6 O 2.26-2.35
Dy  0.5000  0.5000  0.0000  6 O 2.30
Dy  0.0000  0.0000  0.0000  6 O 2.30
Dy  0.0000  0.5000  0.5000  6 O 2.30
Dy  0.5000  0.0000  0.5000  6 O 2.30
O  0.2294  0.2718  0.7603  4 Dy 2.26-2.35
O  0.0116  0.4691  0.7397  4 Dy 2.26-2.35
O  0.2706  0.0309  0.0424  4 Dy 2.26-2.35
O  0.7397  0.0116  0.4691  4 Dy 2.26-2.35
O  0.2718  0.7603  0.2294  4 Dy 2.26-2.35
O  0.2282  0.4576  0.4884  4 Dy 2.26-2.35
O  0.4576  0.4884  0.2282  4 Dy 2.26-2.35
O  0.4691  0.7397  0.0116  4 Dy 2.26-2.35
O  0.0424  0.2706  0.0309  4 Dy 2.26-2.35
O  0.0309  0.0424  0.2706  4 Dy 2.26-2.35
O  0.7603  0.2294  0.2718  4 Dy 2.26-2.35
O  0.4884  0.2282  0.4576  4 Dy 2.26-2.35
O  0.7706  0.7282  0.2397  4 Dy 2.26-2.35
O  0.9884  0.5309  0.2603  4 Dy 2.26-2.35
O  0.7294  0.9691  0.9576  4 Dy 2.26-2.35
O  0.2603  0.9884  0.5309  4 Dy 2.26-2.35
O  0.5116  0.7718  0.5424  4 Dy 2.26-2.35
O  0.2397  0.7706  0.7282  4 Dy 2.26-2.35
O  0.9691  0.9576  0.7294  4 Dy 2.26-2.35
O  0.9576  0.7294  0.9691  4 Dy 2.26-2.35
O  0.5309  0.2603  0.9884  4 Dy 2.26-2.35
O  0.5424  0.5116  0.7718  4 Dy 2.26-2.35
O  0.7718  0.5424  0.5116  4 Dy 2.26-2.35
O  0.7282  0.2397  0.7706  4 Dy 2.26-2.35

# 10
Entry from Alexandria: a geometry-optimized PmSiAu structure (PBE).

Values from the calculation:
space group	No. 216
offset from the most stable computed form	4.921	kcal/mol of atoms
N(E_F)	0.05	states/eV per cell
uncorrected formation energy	-0.604	eV per atom

Cell: 4.6651 4.6651 4.6651 Å, 60.00 60.00 60.00°
Closest atoms and distances in Å follow each position.
Sites, in units of the cell vectors:
Si  0.0000  0.0000  0.0000  4 Au 2.86
Au  0.2500  0.2500  0.2500  4 Pm 2.86, 4 Si 2.86
Pm  0.5000  0.5000  0.5000  4 Au 2.86

# 11
Entry from Alexandria: a geometry-optimized LaTc2Se structure (PBE).

Values from the calculation:
space group	No. 65
N(E_F)	4.68	states/eV per cell
uncorrected formation energy	0.577	eV per atom

Cell: 3.1644 3.1644 8.5088 Å, 90.00 90.00 116.36°
Closest atoms and distances in Å follow each position.
Sites, in units of the cell vectors:
La  0.5000  0.5000  0.2500  4 Tc 2.92, 4 La 3.16
Se  0.5000  0.5000  0.7500  4 Tc 2.49
Tc  0.0000  0.0000  0.9677  2 Se 2.49
Tc  0.0000  0.0000  0.5323  2 Se 2.49

# 12
Entry from Alexandria: a geometry-optimized BaPt2Se structure (PBE).

Values from the calculation:
space group	No. 8
N(E_F)	1.53	states/eV per cell
uncorrected formation energy	-0.724	eV per atom

Cell: 5.0739 5.0739 6.0303 Å, 66.40 66.40 45.35°
Closest atoms and distances in Å follow each position.
Sites, in units of the cell vectors:
Ba  0.7339  0.7339  0.7631  5 Pt 3.24-3.36, 4 Se 3.27-3.52
Pt  0.9525  0.9525  0.1738  3 Pt 2.63-2.93, 2 Se 2.65
Pt  0.2579  0.2579  0.1989  2 Se 2.60, 2 Pt 2.63
Se  0.5557  0.5557  0.3643  4 Pt 2.60-2.65

| no. | total energy (eV/atom) |
| --- | --- |
| 1 | -4.622 |
| 2 | -6.132 |
| 3 | -8.059 |
| 4 | -2.334 |
| 5 | -5.225 |
| 6 | -2.926 |
| 7 | -6.453 |
| 8 | -6.586 |
| 9 | -8.408 |
| 10 | -5.088 |
| 11 | -6.709 |
| 12 | -5.096 |